First-principles (PBE) data for an optimized crystal structure of Hf2ScCS, as listed in Alexandria via LeMat-Bulk.

Formation energy from raw total energies (eV/atom): 0.673
Total DFT energy (no corrections) (eV/atom): -7.244

Lattice parameters (Å, degrees): 4.9651 4.9651 3.7598 90.00 90.00 90.00
Space group P4/mmm (No. 123)
Unique sites:
Hf  0.0000  0.5000  0.0000 (multiplicity 2)
Sc  0.0000  0.0000  0.5000 (multiplicity 1)
C  0.5000  0.5000  0.5000 (multiplicity 1)
S  0.5000  0.5000  0.0000 (multiplicity 1)